# Na2HgMoO4

A relaxed Na2HgMoO4 crystal (PBE with a Hubbard U, the Alexandria database).

Mass density, Mg/m³: 5.145
Fermi-level density of states, states/eV/f.u.: 0.87
E, eV for the cell shown: -80.73

abc: 10.7508 3.0787 8.0566
angles: 90.00 100.24 90.00
Space group C2/m (No. 12)
Unique sites:
Na: 0.2381 0.0000 0.3025
Hg: 0.0000 0.5000 0.0000
Mo: 0.0000 0.0000 0.5000
O: 0.1016 0.5000 0.4209
O: 0.1104 0.0000 0.7051